# 1
Density functional theory data (SCAN) for a crystal of Zr5Rh3 relaxed with PBEsol.

Calculated values
**Energy of formation from the pure elements**: -0.76 eV/atom
**ρ**: 8.5 g/cm3
**Energy above the most stable polymorph in this dataset**: 0.0 meV per atom

```
48
Lattice="-3.498 6.408 -2.848 -0.931 -6.899 -3.598 -13.572 -3.157 9.567" Properties=species:S:1:pos:R:3 pbc="T T T"
Rh -14.232 -3.216 4.382
Rh -7.634 -4.374 3.406
Rh -4.872 -4.772 -2.762
Rh -6.711 -1.116 0.813
Rh -4.261 2.146 -4.589
Rh -11.547 1.492 4.768
Rh -14.719 0.947 3.569
Rh -4.587 -0.523 -2.451
Rh -7.959 0.993 3.220
Rh -4.864 -4.964 0.668
Rh -10.472 -2.441 3.498
Rh -16.148 -6.062 4.205
Rh -1.695 -0.188 -2.466
Rh -9.623 -6.364 4.157
Rh -6.684 2.903 1.431
Rh -9.520 -1.882 0.804
Rh -2.618 -3.166 0.218
Rh -12.648 -0.179 6.882
Zr -12.384 -2.550 1.357
Zr -4.721 -2.580 2.264
Zr -15.206 -8.530 5.333
Zr -3.226 -0.543 0.079
Zr -15.413 -1.565 2.361
Zr -9.452 3.333 2.480
Zr -3.727 4.778 -3.569
Zr -8.020 -1.365 -1.732
Zr -9.945 -0.699 5.711
Zr -7.617 -6.878 1.998
Zr -12.372 -2.839 6.539
Zr -5.923 -2.453 -4.093
Zr -3.310 -0.367 -4.817
Zr -9.283 -3.848 5.469
Zr -5.408 0.566 2.469
Zr -7.905 -1.703 3.155
Zr -2.958 -5.682 -1.094
Zr -13.924 2.158 5.844
Zr -12.699 -1.028 4.042
Zr -8.674 0.938 0.446
Zr -3.519 2.060 -1.823
Zr -5.302 -2.620 -0.920
Zr -13.851 -5.639 5.864
Zr -9.958 -4.656 1.755
Zr -11.985 -4.733 3.833
Zr -7.383 -3.822 0.707
Zr -2.957 -2.781 -2.624
Zr -6.016 1.085 -0.712
Zr -15.142 -0.878 5.603
Zr -10.520 0.185 2.557
```



# 2
Density functional theory data (SCAN) for a crystal of AlAgCl2 relaxed with PBEsol.

Calculated values
**ρ**: 4.3 g/cm3
**Energy above the most stable polymorph in this dataset**: 17.0 meV per atom
**Energy relative to the elements, uncorrected**: -728 meV/atom

```
4
Lattice="3.396 0.000 0.000 1.698 2.941 0.000 1.698 0.980 7.935" Properties=species:S:1:pos:R:3 pbc="T T T"
Al 1.698 0.980 2.109
Ag 3.396 1.961 3.791
Cl 5.094 2.941 0.548
Cl 5.094 2.941 5.456
```



# 3
Density functional theory data (SCAN) for a crystal of CrPdN2 relaxed with PBEsol.

Calculated values
**ρ**: 6.9 g/cm3
**Energy relative to the elements, uncorrected**: -86 meV/atom

```
8
Lattice="4.532 0.000 0.000 0.000 4.532 0.000 -2.266 -2.266 4.344" Properties=species:S:1:pos:R:3 pbc="T T T"
Cr 2.266 0.000 2.172
Cr 2.266 2.266 0.000
Pd 0.000 2.266 2.172
Pd 0.000 0.000 0.000
N 3.113 1.133 1.086
N 1.419 3.399 1.086
N 1.133 0.847 3.258
N -1.133 -0.847 3.258
```